Entry 1:
! Cd2CuAg | Alexandria via LeMat-Bulk | SCAN | single point on PBEsol structure; values from VASP
&SYSTEM
  ibrav = 0, nat = 4, ntyp = 3
/
ATOMIC_SPECIES
Cu 63.55 Cu.upf
Ag 107.87 Ag.upf
Cd 112.41 Cd.upf
CELL_PARAMETERS angstrom
3.150 0.000 0.000
0.000 4.594 0.000
-1.575 -2.297 4.664
ATOMIC_POSITIONS crystal
Cu 0.496 0.496 0.992
Ag 0.770 0.270 0.540
Cd 0.004 0.004 0.008
Cd 0.230 0.730 0.460
! Crystal system: orthorhombic
! Energy relative to the elements (meV per atom): 28.9
! Energy (eV/atom): -26.820

Entry 2:
! Zn2RhBr | Alexandria via LeMat-Bulk | SCAN | single point on PBEsol structure; values from VASP
&SYSTEM
  ibrav = 0, nat = 4, ntyp = 3
/
ATOMIC_SPECIES
Br 79.90 Br.upf
Rh 102.91 Rh.upf
Zn 65.41 Zn.upf
CELL_PARAMETERS angstrom
4.461 0.000 0.000
2.231 3.864 0.000
2.231 1.288 3.643
ATOMIC_POSITIONS crystal
Br 0.500 0.500 0.500
Rh 0.750 0.750 0.750
Zn 0.000 0.000 0.000
Zn 0.250 0.250 0.250
! Crystal system: cubic
! Energy (eV/atom): -19.694
! E_form (uncorrected) (eV/atom): 0.372

Q: Number 1 is which compound?
A: Cd2CuAg

Q: Look up the energy of the second one.
A: -19.694 eV/atom

Q: Look up the energy of the first one.
A: -26.820 eV/atom